# 1
Crystalline SrSi at its relaxed geometry, computed with GGA-PBE.

The final energy comes out at -3.794 eV/atom. The value obtained for the spin magnetization is 0.00 μB/f.u. The calculation puts the formation energy from raw total energies at -0.2419 eV per atom.

Cell: 4.8525 13.4104 6.2132 Å, 90.00 90.00 90.00°
Atoms (fractional coordinates):
Sr 0.2500 0.0504 0.2323
Sr 0.2500 0.4496 0.2323
Sr 0.2500 0.7500 0.4153
Sr 0.7500 0.2500 0.5847
Sr 0.7500 0.5504 0.7677
Sr 0.7500 0.9496 0.7677
Si 0.2500 0.1074 0.7331
Si 0.2500 0.2500 0.9533
Si 0.2500 0.3926 0.7331
Si 0.7500 0.6074 0.2669
Si 0.7500 0.7500 0.0467
Si 0.7500 0.8926 0.2669

=====

# 2
Crystalline Y4BiC2 at its relaxed geometry, computed with GGA-PBE.

For the calculated formation energy, the calculation gives -460 meV per atom. The final energy comes out at -7.343 eV/atom. The value obtained for the spin magnetization is 0.98 μB/f.u.

Cell: 6.5301 6.5301 13.0408 Å, 90.00 90.00 146.00°
Atoms (fractional coordinates):
Y 0.0000 0.0000 0.0000
Y 0.0000 0.0000 0.5000
Y 0.2590 0.7410 0.6005
Y 0.2590 0.7410 0.8995
Y 0.4139 0.5861 0.2500
Y 0.5861 0.4139 0.7500
Y 0.7410 0.2590 0.1005
Y 0.7410 0.2590 0.3995
Bi 0.1103 0.8897 0.2500
Bi 0.8897 0.1103 0.7500
C 0.3636 0.6364 0.0588
C 0.3636 0.6364 0.4412
C 0.6364 0.3636 0.5588
C 0.6364 0.3636 0.9412